# 1
Below is a relaxed structure of K3NaNi2Cl8, with properties calculated at the PBE-GGA level.

Structure (POSCAR):
```
K3NaNi2Cl8
1.0
7.168 0.000 0.000
-3.584 6.208 0.000
0.000 0.000 9.030
K Na Ni Cl
3 1 2 8
Direct
0.000 0.000 0.000
0.333 0.667 0.612
0.667 0.333 0.388
0.000 0.000 0.500
0.333 0.667 0.193
0.667 0.333 0.807
0.173 0.346 0.311
0.173 0.827 0.311
0.333 0.667 0.950
0.346 0.173 0.689
0.654 0.827 0.311
0.667 0.333 0.050
0.827 0.173 0.689
0.827 0.654 0.689
```

Results
Its energy relative to the elements, uncorrected is -1.2764 eV per atom. As for the symmetry: P-3m1 (164). The crystal system is trigonal. As for the density of states at the Fermi level: 3.04 states/eV per cell. For the total magnetization, the calculation gives 4.0 μB per formula unit.

***

# 2
Below is a relaxed structure of KNa2NpCl6, with properties calculated at the PBE-GGA level.

Structure (POSCAR):
```
KNa2NpCl6
1.0
3.629 2.095 6.619
-3.629 2.095 6.619
0.000 -4.191 6.619
K Na Np Cl
1 2 1 6
Direct
0.000 0.000 0.000
0.288 0.288 0.288
0.798 0.798 0.798
0.485 0.485 0.485
0.089 0.655 0.437
0.217 0.569 0.876
0.437 0.089 0.655
0.569 0.876 0.217
0.655 0.437 0.089
0.876 0.217 0.569
```

Results
Its energy relative to the elements, uncorrected is -1.8084 eV per atom. As for the symmetry: R3 (146). The crystal system is trigonal. As for the density of states at the Fermi level: 5.62 states/eV per cell. For the total magnetization, the calculation gives 4.0 μB per formula unit.

***

# 3
Below is a relaxed structure of K2NaNpCl8, with properties calculated at the PBE-GGA level.

Structure (POSCAR):
```
K2NaNpCl8
1.0
6.622 0.000 0.000
0.619 7.023 0.000
0.012 0.017 9.421
K Na Np Cl
2 1 1 8
Direct
0.002 0.000 0.228
0.998 0.000 0.772
0.500 0.500 0.000
0.500 0.500 0.500
0.236 0.789 0.999
0.267 0.808 0.501
0.287 0.367 0.309
0.288 0.366 0.692
0.712 0.634 0.308
0.713 0.633 0.691
0.733 0.192 0.499
0.764 0.211 0.001
```

Results
Its energy relative to the elements, uncorrected is -1.6465 eV per atom. As for the symmetry: P-1 (2). The crystal system is triclinic. As for the density of states at the Fermi level: 11.36 states/eV per cell. For the total magnetization, the calculation gives 1.9 μB per formula unit.

***

# 4
Below is a relaxed structure of KNaNp2Cl8, with properties calculated at the PBE-GGA level.

Structure (POSCAR):
```
KNaNp2Cl8
1.0
6.717 0.000 0.000
-0.434 6.853 0.000
-0.127 -0.102 8.595
K Na Np Cl
1 1 2 8
Direct
0.000 0.000 0.000
0.000 0.000 0.500
0.500 0.500 0.255
0.500 0.500 0.745
0.235 0.191 0.274
0.236 0.189 0.735
0.296 0.661 0.499
0.302 0.652 0.999
0.698 0.348 0.001
0.704 0.339 0.501
0.764 0.811 0.265
0.765 0.809 0.726
```

Results
Its energy relative to the elements, uncorrected is -1.7671 eV per atom. As for the symmetry: P-1 (2). The crystal system is triclinic. As for the density of states at the Fermi level: 11.87 states/eV per cell. For the total magnetization, the calculation gives 8.0 μB per formula unit.

***

# 5
Below is a relaxed structure of K5NaS4Cl2O12, with properties calculated at the PBE-GGA level.

Structure (POSCAR):
```
K5NaS4Cl2O12
1.0
8.721 0.000 0.000
0.000 8.721 0.000
0.000 0.000 11.768
K Na S Cl O
10 2 8 4 24
Direct
0.000 0.000 0.000
0.191 0.309 0.250
0.191 0.309 0.750
0.309 0.809 0.250
0.309 0.809 0.750
0.500 0.500 0.500
0.691 0.191 0.250
0.691 0.191 0.750
0.809 0.691 0.250
0.809 0.691 0.750
0.000 0.000 0.500
0.500 0.500 0.000
0.075 0.600 0.500
0.100 0.575 0.000
0.400 0.075 0.500
0.425 0.100 0.000
0.575 0.900 0.000
0.600 0.925 0.500
0.900 0.425 0.000
0.925 0.400 0.500
0.000 0.000 0.264
0.000 0.000 0.736
0.500 0.500 0.236
0.500 0.500 0.764
0.033 0.271 0.500
0.085 0.667 0.105
0.085 0.667 0.895
0.167 0.585 0.395
0.167 0.585 0.605
0.229 0.467 0.000
0.271 0.967 0.500
0.333 0.085 0.105
0.333 0.085 0.895
0.415 0.167 0.395
0.415 0.167 0.605
0.467 0.771 0.000
0.533 0.229 0.000
0.585 0.833 0.395
0.585 0.833 0.605
0.667 0.915 0.105
0.667 0.915 0.895
0.729 0.033 0.500
0.771 0.533 0.000
0.833 0.415 0.395
0.833 0.415 0.605
0.915 0.333 0.105
0.915 0.333 0.895
0.967 0.729 0.500
```

Results
Its energy relative to the elements, uncorrected is -1.6954 eV per atom. As for the symmetry: P4/mnc (128). The crystal system is tetragonal. As for the density of states at the Fermi level: 0.00 states/eV per cell. For the total magnetization, the calculation gives 0.2 μB per formula unit.

***

# 6
Below is a relaxed structure of K2NaS2ClO6, with properties calculated at the PBE-GGA level.

Structure (POSCAR):
```
K2NaS2ClO6
1.0
12.303 0.000 0.000
0.000 12.303 0.000
0.000 0.000 5.678
K Na S Cl O
8 4 8 4 24
Direct
0.002 0.193 0.014
0.193 0.498 0.014
0.307 0.002 0.014
0.498 0.307 0.014
0.502 0.693 0.986
0.693 0.998 0.986
0.807 0.502 0.986
0.998 0.807 0.986
0.250 0.250 0.447
0.250 0.750 0.500
0.750 0.250 0.500
0.750 0.750 0.553
0.009 0.588 0.475
0.088 0.991 0.525
0.412 0.509 0.525
0.491 0.912 0.475
0.509 0.088 0.525
0.588 0.491 0.475
0.912 0.009 0.475
0.991 0.412 0.525
0.250 0.250 0.938
0.250 0.750 0.000
0.750 0.250 0.000
0.750 0.750 0.062
0.000 0.397 0.782
0.000 0.603 0.218
0.080 0.363 0.389
0.103 0.000 0.782
0.111 0.882 0.430
0.118 0.611 0.570
0.137 0.080 0.389
0.363 0.420 0.389
0.382 0.889 0.570
0.389 0.618 0.430
0.397 0.500 0.782
0.420 0.137 0.389
0.500 0.103 0.782
0.500 0.897 0.218
0.580 0.863 0.611
0.603 0.500 0.218
0.611 0.382 0.570
0.618 0.111 0.430
0.637 0.580 0.611
0.863 0.920 0.611
0.882 0.389 0.430
0.889 0.118 0.570
0.897 0.000 0.218
0.920 0.637 0.611
```

Results
Its energy relative to the elements, uncorrected is -1.6876 eV per atom. As for the symmetry: P4/n (85). The crystal system is tetragonal. As for the density of states at the Fermi level: 0.00 states/eV per cell. For the total magnetization, the calculation gives 0.1 μB per formula unit.